MnBe2HRu: relaxed, PBE.

## Properties
**Total energy**: -0.216 hartree per atom
**Calculated volume**: 45.4 Å³ per cell

abc: 3.773 3.773 3.187
angles: 90.00 90.00 90.00
Element x y z (fractional)
Ru1 0.500 0.500 0.500
Mn1 0.000 0.000 0.500
H1 0.000 0.000 0.000
Be1 0.000 0.500 0.000
Be2 0.500 0.000 0.000

MnBeH2S: relaxed, PBE.

## Properties
**Total energy**: -0.151 hartree per atom
**Calculated volume**: 56.0 Å³ per cell

abc: 3.337 5.025 3.337
angles: 90.00 90.00 90.00
Element x y z (fractional)
Be1 0.000 0.500 0.000
S1 0.000 0.000 0.000
Mn1 0.500 0.500 0.500
H1 0.000 0.000 0.500
H2 0.500 0.000 0.000

MnBeH2Se: relaxed, PBE.

## Properties
**Total energy**: -0.159 hartree per atom
**Calculated volume**: 62.4 Å³ per cell

abc: 3.351 5.558 3.351
angles: 90.00 90.00 90.00
Element x y z (fractional)
Be1 0.000 0.500 0.000
Mn1 0.000 0.000 0.000
Se1 0.500 0.500 0.500
H1 0.000 0.000 0.500
H2 0.500 0.000 0.000

Mn2BeSiH: relaxed, PBE.

## Properties
**Total energy**: -0.233 hartree per atom
**Calculated volume**: 45.4 Å³ per cell

abc: 3.643 3.643 3.422
angles: 90.00 90.00 90.00
Element x y z (fractional)
Be1 0.000 0.000 0.500
Si1 0.500 0.500 0.500
Mn1 0.000 0.500 0.000
Mn2 0.500 0.000 0.000
H1 0.000 0.000 0.000

SrMnBe2H: relaxed, PBE.

## Properties
**Total energy**: -0.124 hartree per atom
**Calculated volume**: 67.2 Å³ per cell

abc: 4.547 3.248 4.547
angles: 90.00 90.00 90.00
Element x y z (fractional)
Sr1 0.500 0.500 0.500
Mn1 0.000 0.500 0.000
H1 0.000 0.000 0.000
Be1 0.000 0.000 0.500
Be2 0.500 0.000 0.000

TaMn2BeH: relaxed, PBE.

## Properties
**Total energy**: -0.275 hartree per atom
**Calculated volume**: 50.5 Å³ per cell

abc: 3.917 3.917 3.291
angles: 90.00 90.00 90.00
Element x y z (fractional)
Be1 0.000 0.000 0.500
Mn1 0.000 0.500 0.000
Mn2 0.500 0.000 0.000
H1 0.000 0.000 0.000
Ta1 0.500 0.500 0.500

MnBe2TeH: relaxed, PBE.

## Properties
**Total energy**: -0.146 hartree per atom
**Calculated volume**: 58.5 Å³ per cell

abc: 3.672 4.340 3.672
angles: 90.00 90.00 90.00
Element x y z (fractional)
Be1 0.000 0.000 0.500
Be2 0.500 0.000 0.000
Te1 0.000 0.500 0.000
Mn1 0.500 0.500 0.500
H1 0.000 0.000 0.000

Ti2MnBeH: relaxed, PBE.

## Properties
**Total energy**: -0.243 hartree per atom
**Calculated volume**: 53.3 Å³ per cell
**Polymorph energy (0 for the lowest one)**: 0.0000 eV per atom

abc: 4.136 4.136 3.113
angles: 90.00 90.00 90.00
Element x y z (fractional)
Be1 0.000 0.000 0.500
Mn1 0.500 0.500 0.500
H1 0.000 0.000 0.000
Ti1 0.000 0.500 0.000
Ti2 0.500 0.000 0.000

Ti2MnBeH: relaxed, PBE.

## Properties
**Total energy**: -0.243 hartree per atom
**Calculated volume**: 55.0 Å³ per cell
**Polymorph energy (0 for the lowest one)**: 0.0117 eV per atom

abc: 4.105 4.105 3.264
angles: 90.00 90.00 90.00
Element x y z (fractional)
Be1 0.500 0.500 0.500
Mn1 0.000 0.000 0.500
H1 0.000 0.000 0.000
Ti1 0.000 0.500 0.000
Ti2 0.500 0.000 0.000

MnBeV2H: relaxed, PBE.

## Properties
**Total energy**: -0.256 hartree per atom
**Calculated volume**: 48.8 Å³ per cell

abc: 3.721 3.721 3.524
angles: 90.00 90.00 90.00
Element x y z (fractional)
Be1 0.500 0.500 0.500
Mn1 0.000 0.000 0.500
H1 0.000 0.000 0.000
V1 0.000 0.500 0.000
V2 0.500 0.000 0.000

Mn2BeHW: relaxed, PBE.

## Properties
**Total energy**: -0.279 hartree per atom
**Calculated volume**: 48.2 Å³ per cell

abc: 3.902 3.902 3.166
angles: 90.00 90.00 90.00
Element x y z (fractional)
Be1 0.000 0.000 0.500
Mn1 0.000 0.500 0.000
Mn2 0.500 0.000 0.000
W1 0.500 0.500 0.500
H1 0.000 0.000 0.000

Be2MoH: relaxed, PBE.

## Properties
**Total energy**: -0.162 hartree per atom
**Calculated volume**: 39.2 Å³ per cell
**Polymorph energy (0 for the lowest one)**: 0.8972 eV per atom

abc: 3.814 3.814 3.814
angles: 60.00 60.00 60.00
Element x y z (fractional)
Be1 0.250 0.250 0.250
Be2 0.750 0.750 0.750
Mo1 0.500 0.500 0.500
H1 0.000 0.000 0.000

Be2MoH: relaxed, PBE.

## Properties
**Total energy**: -0.195 hartree per atom
**Calculated volume**: 68.4 Å³ per cell
**Polymorph energy (0 for the lowest one)**: 0.0000 eV per atom

abc: 4.590 4.590 4.590
angles: 60.00 60.00 90.00
Element x y z (fractional)
Be1 0.375 0.125 0.250
Be2 0.375 0.625 0.250
Be3 0.375 0.625 0.750
Be4 0.875 0.625 0.750
Mo1 0.000 0.000 0.000
Mo2 0.750 0.250 0.500
H1 0.500 0.500 0.000
H2 0.250 0.750 0.500

BeMoH3: relaxed, PBE.

## Properties
**Total energy**: -0.167 hartree per atom
**Calculated volume**: 30.5 Å³ per cell
**Polymorph energy (0 for the lowest one)**: 0.0000 eV per atom

abc: 3.123 3.123 3.123
angles: 90.00 90.00 90.00
Element x y z (fractional)
Be1 0.000 0.000 0.000
Mo1 0.500 0.500 0.500
H1 0.000 0.500 0.000
H2 0.000 0.000 0.500
H3 0.500 0.000 0.000

BeMoH3: relaxed, PBE.

## Properties
**Total energy**: -0.163 hartree per atom
**Calculated volume**: 39.6 Å³ per cell
**Polymorph energy (0 for the lowest one)**: 0.0953 eV per atom

abc: 3.408 3.408 3.408
angles: 90.00 90.00 90.00
Element x y z (fractional)
Be1 0.500 0.500 0.500
Mo1 0.000 0.000 0.000
H1 0.000 0.500 0.000
H2 0.000 0.000 0.500
H3 0.500 0.000 0.000

NaBeMoH2: relaxed, PBE.

## Properties
**Total energy**: -0.106 hartree per atom
**Calculated volume**: 68.1 Å³ per cell

abc: 3.691 5.000 3.691
angles: 90.00 90.00 90.00
Element x y z (fractional)
Na1 0.000 0.500 0.000
Mo1 0.500 0.500 0.500
H1 0.000 0.000 0.500
H2 0.500 0.000 0.000
Be1 0.000 0.000 0.000

BeNb2MoH: relaxed, PBE.

## Properties
**Total energy**: -0.278 hartree per atom
**Calculated volume**: 65.6 Å³ per cell

abc: 4.148 3.811 4.148
angles: 90.00 90.00 90.00
Element x y z (fractional)
Be1 0.500 0.500 0.500
Mo1 0.000 0.500 0.000
Nb1 0.000 0.000 0.500
Nb2 0.500 0.000 0.000
H1 0.000 0.000 0.000

Be2NbMoH: relaxed, PBE.

## Properties
**Total energy**: -0.154 hartree per atom
**Calculated volume**: 97.4 Å³ per cell

abc: 4.552 4.552 4.701
angles: 90.00 90.00 90.00
Element x y z (fractional)
Be1 0.000 0.500 0.000
Be2 0.500 0.000 0.000
Mo1 0.000 0.000 0.500
Nb1 0.000 0.000 0.000
H1 0.500 0.500 0.500

BeMo2HOs: relaxed, PBE.

## Properties
**Total energy**: -0.285 hartree per atom
**Calculated volume**: 58.2 Å³ per cell

abc: 4.027 4.027 3.587
angles: 90.00 90.00 90.00
Element x y z (fractional)
Be1 0.000 0.000 0.500
Mo1 0.000 0.500 0.000
Mo2 0.500 0.000 0.000
Os1 0.500 0.500 0.500
H1 0.000 0.000 0.000

BeMo2HPt: relaxed, PBE.

## Properties
**Total energy**: -0.256 hartree per atom
**Calculated volume**: 59.8 Å³ per cell

abc: 3.764 3.764 4.224
angles: 90.00 90.00 90.00
Element x y z (fractional)
Be1 0.000 0.000 0.500
Mo1 0.000 0.500 0.000
Mo2 0.500 0.000 0.000
Pt1 0.500 0.500 0.500
H1 0.000 0.000 0.000

Be2MoHPt: relaxed, PBE.

## Properties
**Total energy**: -0.206 hartree per atom
**Calculated volume**: 51.8 Å³ per cell

abc: 3.863 3.863 3.473
angles: 90.00 90.00 90.00
Element x y z (fractional)
Be1 0.000 0.500 0.000
Be2 0.500 0.000 0.000
Mo1 0.000 0.000 0.500
Pt1 0.500 0.500 0.500
H1 0.000 0.000 0.000

TaBe2MoH: relaxed, PBE.

## Properties
**Total energy**: -0.165 hartree per atom
**Calculated volume**: 99.3 Å³ per cell

abc: 4.589 4.589 4.714
angles: 90.00 90.00 90.00
Element x y z (fractional)
Be1 0.000 0.500 0.000
Be2 0.500 0.000 0.000
Mo1 0.000 0.000 0.500
H1 0.500 0.500 0.500
Ta1 0.000 0.000 0.000

BeMoHW2: relaxed, PBE.

## Properties
**Total energy**: -0.259 hartree per atom
**Calculated volume**: 73.8 Å³ per cell

abc: 4.211 4.163 4.211
angles: 90.00 90.00 90.00
Element x y z (fractional)
Be1 0.000 0.000 0.000
Mo1 0.000 0.500 0.000
W1 0.000 0.000 0.500
W2 0.500 0.000 0.000
H1 0.500 0.500 0.500

ZrBeMo2H: relaxed, PBE.

## Properties
**Total energy**: -0.245 hartree per atom
**Calculated volume**: 69.8 Å³ per cell

abc: 4.582 3.324 4.582
angles: 90.00 90.00 90.00
Element x y z (fractional)
Be1 0.000 0.000 0.000
Mo1 0.000 0.000 0.500
Mo2 0.500 0.000 0.000
Zr1 0.500 0.500 0.500
H1 0.000 0.500 0.000

BeHN: relaxed, PBE.

## Properties
**Total energy**: -0.203 hartree per atom
**Calculated volume**: 128.8 Å³ per cell
**Polymorph energy (0 for the lowest one)**: 0.4188 eV per atom

abc: 5.282 5.400 4.517
angles: 90.00 90.00 90.00
Element x y z (fractional)
Be1 0.000 0.000 0.000
Be2 0.500 0.500 0.500
Be3 0.500 0.000 0.500
Be4 0.000 0.500 0.000
H1 0.670 0.250 0.001
H2 0.830 0.750 0.501
H3 0.330 0.750 0.999
H4 0.170 0.250 0.499
N1 0.363 0.250 0.500
N2 0.137 0.750 0.000
N3 0.637 0.750 0.500
N4 0.863 0.250 0.000

BeHN: relaxed, PBE.

## Properties
**Total energy**: -0.219 hartree per atom
**Calculated volume**: 47.3 Å³ per cell
**Polymorph energy (0 for the lowest one)**: 0.0000 eV per atom

abc: 3.080 3.080 5.861
angles: 90.01 121.63 90.00
Element x y z (fractional)
H1 0.223 0.403 0.819
H2 0.989 0.903 0.085
N1 0.193 0.903 0.289
N2 0.018 0.403 0.615
Be1 0.356 0.403 0.452
Be2 0.856 0.903 0.452

Be2HN: relaxed, PBE.

## Properties
**Total energy**: -0.169 hartree per atom
**Calculated volume**: 22.7 Å³ per cell
**Polymorph energy (0 for the lowest one)**: 0.7108 eV per atom

abc: 3.179 3.179 3.179
angles: 60.00 60.00 60.00
Element x y z (fractional)
Be1 0.250 0.250 0.250
Be2 0.750 0.750 0.750
H1 0.000 0.000 0.000
N1 0.500 0.500 0.500

BeHN: relaxed, PBE.

## Properties
**Total energy**: -0.214 hartree per atom
**Calculated volume**: 74.5 Å³ per cell
**Polymorph energy (0 for the lowest one)**: 0.1395 eV per atom

abc: 4.998 3.097 4.813
angles: 90.00 90.00 90.00
Element x y z (fractional)
Be1 0.866 0.250 0.425
Be2 0.634 0.750 0.925
Be3 0.134 0.750 0.575
Be4 0.366 0.250 0.075
H1 0.866 0.250 0.959
H2 0.634 0.750 0.459
H3 0.134 0.750 0.041
H4 0.366 0.250 0.541
N1 0.215 0.250 0.396
N2 0.285 0.750 0.896
N3 0.785 0.750 0.604
N4 0.715 0.250 0.104